An optimized crystal structure of KMnCl3, computed with PBE-GGA.

Structure (POSCAR):
```
KMnCl3
1.0
-1.265 -3.472 -0.349
6.622 -2.514 1.000
-1.776 -0.428 10.677
Cl K Mn
6 2 2
direct
0.250 0.750 0.429 Cl
0.250 0.018 0.829 Cl
0.250 0.482 0.829 Cl
0.750 0.518 0.171 Cl
0.750 0.250 0.571 Cl
0.750 0.982 0.171 Cl
0.250 0.250 0.344 K
0.750 0.750 0.656 K
0.250 0.750 0.211 Mn
0.750 0.250 0.789 Mn
```

Energy ... -4.5578 eV/atom
Space-group type ... No. 59
Formation energy from raw total energies ... -1.40 eV/atom